14
Lattice="5.291 0.000 0.000 -2.646 4.582 0.000 0.000 0.000 7.120" Properties=species:S:1:pos:R:3 comment="Na3PuB2O8 (PBE, optimized geometry)" n_ef_per_ev_cell=3.9 raw_formation_energy_mev_per_atom=-2052 spacegroup="P-3m1 (164)" pbc="T T T"
Na 0.000 0.000 0.000
Na 0.000 3.055 5.327
Na 2.646 1.527 1.793
Pu 0.000 0.000 3.560
B 0.000 3.055 1.751
B 2.646 1.527 5.369
O 0.000 1.651 2.346
O -1.216 3.757 2.346
O 0.000 3.055 0.389
O 1.430 0.826 4.774
O 1.215 3.757 2.346
O 2.646 1.527 6.730
O 3.861 0.826 4.774
O 2.646 2.931 4.774